Entry from the Alexandria database: an optimized crystal structure of RbScGaN2 (GGA-PBE).

a b c (Å): 4.381 4.381 5.266
angles (deg): 90.00 90.00 90.00
Fractional positions:
1 Rb 0.000 0.000 0.000
2 Sc 0.500 0.500 0.500
3 Ga 0.500 0.500 0.000
4 N 0.000 0.500 0.500
5 N 0.500 0.000 0.500

Calculated values
uncorrected formation energy = 0.5686 eV per atom
calculated total energy = -24.1 eV/cell
M_tot = 0.2 μB/f.u.
Fermi-level density of states = 0.6606 states/eV/atom